A) Computed, not measured: a crystal of K2HgSe relaxed with PBEsol at the meta-GGA SCAN level of DFT.

Values from the calculation:
DOS at the Fermi energy: 0.00 states/eV/cell
calculated volume: 29.92 A^3/atom

```
4
Lattice="-3.781 -2.437 3.219 -3.552 -3.640 -2.175 0.456 -5.376 1.219" Properties=species:S:1:pos:R:3 pbc="T T T"
K -5.157 -8.590 1.697
K -1.719 -2.863 0.566
Hg -3.438 -5.727 1.131
Se 0.000 0.000 0.000
```

=====

B) Computed, not measured: a crystal of K2HgSe relaxed with PBEsol at the meta-GGA SCAN level of DFT.

Values from the calculation:
DOS at the Fermi energy: 0.68 states/eV/cell
calculated volume: 29.91 A^3/atom

```
4
Lattice="-2.525 -2.485 -2.500 1.786 -4.286 2.456 -3.879 0.401 3.520" Properties=species:S:1:pos:R:3 pbc="T T T"
Se -2.309 -3.185 1.738
Hg -1.263 -1.242 -1.250
K 0.893 -2.143 1.228
K -1.939 0.200 1.760
```

=====

The most stable structure shown above is A); the least stable is B).